Entry 1:
AlHgW2 | PBE | relaxed

abc: 7.3427 7.3427 5.8514
angles: 51.14 51.14 90.00
Positions (direct):
Al 0.5000 0.5000 0.0000
Hg 0.7500 0.2500 0.5000
W 0.1460 0.6250 0.2500
Hg 0.0000 0.0000 0.0000
W 0.6040 0.1250 0.2500
Al 0.2500 0.7500 0.5000
W 0.3750 0.3960 0.7500
W 0.8750 0.8540 0.7500

Output
Formation energy from the elements in eV/atom: 1.070

Entry 2:
SiTcOs2 | PBE | relaxed

abc: 8.6111 8.6111 8.6111
angles: 18.43 18.43 18.43
Positions (direct):
Si 0.5005 0.5005 0.5005
Os 0.2458 0.2458 0.2458
Os 0.0006 0.0006 0.0006
Tc 0.7531 0.7531 0.7531

Output
E_form (uncorrected) in eV/f.u.: -0.18

Entry 3:
KFe2As | PBE | relaxed

abc: 6.0325 6.0325 6.0325
angles: 152.77 122.22 65.01
Positions (direct):
Fe 0.8166 0.3166 0.5000
K 0.4884 0.4884 0.0000
As 0.1946 0.6946 0.5000
Fe 0.0004 0.0004 0.0000

Output
Formation energy from the elements in eV/atom: 0.573

Entry 4:
CaIn2RuS | PBE | relaxed

abc: 5.4591 4.3502 5.4591
angles: 90.00 90.00 90.00
Positions (direct):
S 0.0000 0.0000 0.0000
In 0.0000 0.0000 0.5000
In 0.5000 0.0000 0.0000
Ca 0.5000 0.5000 0.5000
Ru 0.0000 0.5000 0.0000

Output
E_form (uncorrected) in eV/f.u.: 0.74

Entry 5:
SnPb4Se5 | PBE | relaxed

abc: 4.3684 4.3684 15.7604
angles: 97.97 97.97 90.00
Positions (direct):
Se 0.0981 0.0981 0.1963
Se 0.2998 0.2998 0.5996
Se 0.5000 0.5000 0.0000
Sn 0.0000 0.0000 0.0000
Se 0.9019 0.9019 0.8037
Pb 0.4006 0.4006 0.8012
Pb 0.1996 0.1996 0.3992
Se 0.7002 0.7002 0.4004
Pb 0.8004 0.8004 0.6008
Pb 0.5994 0.5994 0.1988

Output
E_form (uncorrected) in eV/f.u.: -5.37

Entry 6:
Cr2Ir | PBE | relaxed

abc: 5.7321 5.7321 5.7321
angles: 90.00 90.00 90.00
Positions (direct):
Cr 0.6020 0.8980 0.1020
Cr 0.8980 0.3980 0.1020
Cr 0.6020 0.6020 0.6020
Ir 0.5000 0.5000 0.0000
Cr 0.3980 0.1020 0.8980
Ir 0.0000 0.5000 0.5000
Cr 0.3980 0.3980 0.3980
Cr 0.1020 0.6020 0.8980
Ir 0.0000 0.0000 0.0000
Ir 0.5000 0.0000 0.5000
Cr 0.8980 0.1020 0.6020
Cr 0.1020 0.8980 0.3980

Output
Formation energy from the elements in eV/atom: 0.880

Entry 7:
PrY2Tm12 | PBE | relaxed

abc: 6.5434 6.5434 24.5902
angles: 96.74 96.74 114.46
Positions (direct):
Tm 0.4038 0.4045 0.2031
Tm 0.6799 0.1799 0.5731
Y 0.5437 0.0437 0.7268
Tm 0.6054 0.1054 0.1392
Tm 0.9995 0.9999 0.3324
Tm 0.1658 0.1660 0.5542
Tm 0.6660 0.6658 0.5542
Tm 0.1051 0.6051 0.1388
Tm 0.3949 0.8949 0.8612
Tm 0.5955 0.5962 0.7969
Pr 0.9998 0.4998 0.9998
Tm 0.3342 0.3340 0.4458
Tm 0.0962 0.0955 0.7969
Tm 0.9045 0.9038 0.2031
Tm 0.1802 0.6802 0.5733
Y 0.0440 0.5440 0.7268
Tm 0.4413 0.4413 0.9233
Tm 0.5587 0.5587 0.0767
Tm 0.4999 0.4995 0.3324
Tm 0.8946 0.3946 0.8608
Pr 0.5002 0.0002 0.0002
Tm 0.8201 0.3201 0.4269
Tm 0.3198 0.8198 0.4267
Y 0.4560 0.9560 0.2732
Tm 0.5005 0.5001 0.6676
Tm 0.0001 0.0005 0.6676
Tm 0.0587 0.0587 0.0767
Tm 0.9413 0.9413 0.9233
Y 0.9563 0.4563 0.2732
Tm 0.8340 0.8342 0.4458

Output
Formation energy from the elements in eV/atom: 0.112

Entry 8:
BiPd2Rh | PBE | relaxed

abc: 4.2237 4.0365 4.0365
angles: 90.00 90.00 90.00
Positions (direct):
Bi 0.5000 0.5000 0.5000
Rh 0.5000 0.0000 0.0000
Pd 0.0000 0.0000 0.5000
Pd 0.0000 0.5000 0.0000

Output
Formation energy from the elements in eV/atom: -0.147

Entry 9:
NdSi2IrOs | PBE | relaxed

abc: 4.1773 4.1773 5.7960
angles: 111.12 111.12 90.00
Positions (direct):
Nd 0.0000 0.0000 0.0000
Os 0.7500 0.2500 0.5000
Ir 0.2500 0.7500 0.5000
Si 0.3709 0.3709 0.7419
Si 0.6291 0.6291 0.2581

Output
E_form (uncorrected) in eV/f.u.: -4.48

Entry 10:
Pm14ThMg | PBE | relaxed

abc: 7.2241 7.2241 10.2840
angles: 90.00 90.00 90.00
Positions (direct):
Th 0.8751 0.1249 0.0000
Pm 0.3748 0.1246 0.5000
Pm 0.6271 0.8771 0.2463
Pm 0.1230 0.8770 0.2462
Pm 0.6270 0.3730 0.7537
Pm 0.8747 0.1253 0.5000
Pm 0.1229 0.3729 0.2463
Pm 0.6271 0.8771 0.7537
Pm 0.3753 0.6247 0.5000
Pm 0.3751 0.1254 0.0000
Mg 0.3749 0.6251 0.0000
Pm 0.1229 0.3729 0.7537
Pm 0.8754 0.6252 0.5000
Pm 0.6270 0.3730 0.2463
Pm 0.1230 0.8770 0.7538
Pm 0.8746 0.6249 0.0000

Output
Formation energy from the elements in eV/atom: 0.015

Entry 11:
TmTiPb2O6 | PBE | relaxed

abc: 5.7325 5.8427 8.1955
angles: 90.00 90.05 90.00
Positions (direct):
Pb 0.9927 0.0361 0.7508
O 0.3146 0.7174 0.4551
Ti 0.5000 0.0000 0.5000
O 0.2812 0.6903 0.0448
O 0.8146 0.7826 0.9551
O 0.4112 0.9757 0.7351
Pb 0.0073 0.9639 0.2492
Tm 0.5000 0.0000 0.0000
O 0.5888 0.0243 0.2649
Tm 0.0000 0.5000 0.5000
O 0.7812 0.8097 0.5448
Pb 0.4927 0.4639 0.2508
O 0.0888 0.4757 0.7649
O 0.7188 0.3097 0.9552
O 0.6854 0.2826 0.5449
Pb 0.5073 0.5361 0.7492
O 0.2188 0.1903 0.4552
O 0.1854 0.2174 0.0449
O 0.9112 0.5243 0.2351
Ti 0.0000 0.5000 0.0000

Output
E_form (uncorrected) in eV/f.u.: -22.22

Entry 12:
TbPmC2O8 | PBE | relaxed

abc: 4.8718 4.8354 6.9439
angles: 65.90 69.46 59.75
Positions (direct):
C 0.7284 0.7634 0.7799
O 0.4370 0.9575 0.7091
O 0.3283 0.3485 0.9949
O 0.9036 0.4919 0.7008
O 0.0964 0.5081 0.2992
O 0.6717 0.6515 0.0051
O 0.8963 0.9575 0.7091
C 0.2716 0.2366 0.2201
Tb 0.0000 0.0000 0.0000
O 0.5630 0.0425 0.2909
Pm 0.5000 0.5000 0.5000
O 0.1037 0.0425 0.2909

Output
E_form (uncorrected) in eV/f.u.: -22.84

Going through the records in order, we get M_tot values of 0.0, 0.0, 5.5, 0.3, 0.0, 0.0, 0.0, 0.0, 0.0, 0.0, 0.0, 2.0 μB per cell.
Going through the records in order, we get E values of -6.418, -9.608, -5.095, -4.027, -4.163, -8.489, -4.646, -5.552, -8.036, -4.705, -7.175, -7.528 eV/atom.